Record 1
Here is a relaxed structure of PuV4W from Alexandria via LeMat-Bulk. Energies are from GGA-PBE.

Lattice parameters (Å, degrees): 5.091 5.091 5.091 60.00 60.00 60.00
Atoms (fractional coordinates):
Pu 0.000 0.000 0.000
V 0.126 0.625 0.625
V 0.625 0.126 0.625
V 0.625 0.625 0.126
V 0.625 0.625 0.625
W 0.250 0.250 0.250

Output
raw total energy = -10.340 eV/atom
formation energy from the elements = 0.29 eV per atom
magnetization = 4.788 μB/f.u.

Record 2
Here is a relaxed structure of LaY2Rh2 from Alexandria via LeMat-Bulk. Energies are from GGA-PBE.

Lattice parameters (Å, degrees): 7.692 7.692 4.057 90.00 90.00 90.00
Atoms (fractional coordinates):
La 0.000 0.000 0.000
La 0.500 0.500 0.000
Y 0.156 0.344 0.500
Y 0.344 0.844 0.500
Y 0.656 0.156 0.500
Y 0.844 0.656 0.500
Rh 0.142 0.642 0.000
Rh 0.358 0.142 0.000
Rh 0.642 0.858 0.000
Rh 0.858 0.358 0.000

Output
raw total energy = -7.151 eV/atom
formation energy from the elements = -0.64 eV per atom
magnetization = 0.000 μB/f.u.

Record 3
Here is a relaxed structure of Zn11Ni4Au9 from Alexandria via LeMat-Bulk. Energies are from GGA-PBE.

Lattice parameters (Å, degrees): 11.758 11.758 2.840 90.00 90.00 111.15
Atoms (fractional coordinates):
Zn 0.000 0.000 0.000
Zn 0.064 0.416 0.000
Zn 0.158 0.842 0.000
Zn 0.305 0.305 0.000
Zn 0.370 0.630 0.000
Zn 0.416 0.064 0.000
Zn 0.584 0.936 0.000
Zn 0.630 0.370 0.000
Zn 0.695 0.695 0.000
Zn 0.842 0.158 0.000
Zn 0.936 0.584 0.000
Ni 0.250 0.451 0.500
Ni 0.451 0.250 0.500
Ni 0.549 0.750 0.500
Ni 0.750 0.549 0.500
Au 0.065 0.218 0.500
Au 0.151 0.632 0.500
Au 0.218 0.065 0.500
Au 0.368 0.849 0.500
Au 0.500 0.500 0.500
Au 0.632 0.151 0.500
Au 0.782 0.935 0.500
Au 0.849 0.368 0.500
Au 0.935 0.782 0.500

Output
raw total energy = -2.943 eV/atom
formation energy from the elements = -0.17 eV per atom
magnetization = 0.000 μB/f.u.

Record 4
Here is a relaxed structure of Ce9Th4Hg11 from Alexandria via LeMat-Bulk. Energies are from GGA-PBE.

Lattice parameters (Å, degrees): 13.937 13.937 3.379 90.00 90.00 97.45
Atoms (fractional coordinates):
Ce 0.000 0.000 0.000
Ce 0.121 0.640 0.000
Ce 0.291 0.468 0.000
Ce 0.360 0.879 0.000
Ce 0.468 0.291 0.000
Ce 0.532 0.709 0.000
Ce 0.640 0.121 0.000
Ce 0.709 0.532 0.000
Ce 0.879 0.360 0.000
Th 0.056 0.226 0.000
Th 0.226 0.056 0.000
Th 0.774 0.944 0.000
Th 0.944 0.774 0.000
Hg 0.085 0.433 0.500
Hg 0.146 0.854 0.500
Hg 0.265 0.265 0.500
Hg 0.327 0.673 0.500
Hg 0.433 0.085 0.500
Hg 0.500 0.500 0.500
Hg 0.567 0.915 0.500
Hg 0.673 0.327 0.500
Hg 0.735 0.735 0.500
Hg 0.854 0.146 0.500
Hg 0.915 0.567 0.500

Output
raw total energy = -3.813 eV/atom
formation energy from the elements = -0.21 eV per atom
magnetization = 1.048 μB/f.u.

Record 5
Here is a relaxed structure of LiHo2Cd from Alexandria via LeMat-Bulk. Energies are from GGA-PBE.

Lattice parameters (Å, degrees): 5.236 5.236 5.236 60.00 60.00 60.00
Atoms (fractional coordinates):
Li 0.000 0.000 0.000
Ho 0.250 0.250 0.250
Ho 0.750 0.750 0.750
Cd 0.500 0.500 0.500

Output
raw total energy = -3.108 eV/atom
formation energy from the elements = -0.11 eV per atom
magnetization = 0.000 μB/f.u.

Q: Among the records above, which one has the highest formation energy from the elements?
A: PuV4W